1.
A plane-wave DFT calculation with GGA-PBE was carried out for a relaxed structure of Pr2GdSn3IrPd2.

a b c (Å): 4.1255 7.6107 7.6107
angles (deg): 120.13 90.00 90.00
Positions (direct):
1 Gd 0.0000 0.4053 0.4053
2 Ir 0.0000 0.0046 0.0046
3 Pd 0.5000 0.6616 0.3355
4 Pd 0.5000 0.3355 0.6616
5 Pr 0.0000 0.9994 0.5906
6 Pr 0.0000 0.5906 0.9994
7 Sn 0.5000 0.2509 0.0024
8 Sn 0.5000 0.0024 0.2509
9 Sn 0.5000 0.7497 0.7497

Magnetic moment (Bohr magnetons per cell): 0.001
Uncorrected energy (eV per cell): -53.40



2.
A plane-wave DFT calculation with GGA-PBE was carried out for a relaxed structure of SmFeHg.

a b c (Å): 4.8594 4.8594 4.8594
angles (deg): 60.00 60.00 60.00
Positions (direct):
1 Fe 0.2500 0.2500 0.2500
2 Hg 0.7500 0.7500 0.7500
3 Sm 0.0000 0.0000 0.0000

Magnetic moment (Bohr magnetons per cell): 2.118
DFT formation energy (eV per atom): 0.667
Offset from the most stable computed form (eV/atom): 0.289



3.
A plane-wave DFT calculation with GGA-PBE was carried out for a relaxed structure of NdScTc.

a b c (Å): 4.6777 4.6777 4.6777
angles (deg): 60.00 60.00 60.00
Each line ends with the local moment (μB).
Positions (direct):
1 Nd 0.0000 0.0000 0.0000  -0.03
2 Sc 0.2500 0.2500 0.2500  -0.05
3 Tc 0.7500 0.7500 0.7500  0.41

Magnetic moment (Bohr magnetons per cell): 0.381
DFT formation energy (eV per atom): 1.022
Offset from the most stable computed form (eV/atom): 0.249



4.
A plane-wave DFT calculation with GGA-PBE was carried out for a relaxed structure of Zn2SO.

a b c (Å): 3.5573 3.5573 5.7886
angles (deg): 90.00 90.00 120.00
Positions (direct):
1 O 0.3333 0.6667 0.8772
2 S 0.0000 0.0000 0.3707
3 Zn 0.3333 0.6667 0.5349
4 Zn 0.0000 0.0000 0.9673

Offset from the most stable computed form (eV/atom): 0.073